The following is a PBE calculation of crystalline Pm4Mg2In5 at its relaxed geometry, from Alexandria via LeMat-Bulk.

```
Pm4Mg2In5
1.0
8.1545 0.0000 0.0000
0.0000 3.4733 0.0000
-0.7668 0.0000 10.6366
Pm Mg In
4 2 5
direct
0.1664 0.0000 0.3956 Pm
0.2919 0.0000 0.9385 Pm
0.7081 0.0000 0.0615 Pm
0.8336 0.0000 0.6044 Pm
0.0562 0.5000 0.1333 Mg
0.9438 0.5000 0.8667 Mg
0.1916 0.5000 0.6705 In
0.4207 0.5000 0.2070 In
0.5000 0.5000 0.5000 In
0.5793 0.5000 0.7930 In
0.8084 0.5000 0.3295 In
```

Symmetry   P2/m, No. 10
E_tot   -3.585 eV/atom
Energy of formation from the pure elements   -0.322 eV/atom